1.
# GGA-PBE SrCoRh, optimized geometry
data_SrCoRh
_cell_length_a 4.0684
_cell_length_b 4.0684
_cell_length_c 4.6820
_cell_angle_alpha 90.00
_cell_angle_beta 90.00
_cell_angle_gamma 120.00
_symmetry_space_group_name_H-M 'P -6 m 2'
_symmetry_Int_Tables_number 187
_symmetry_space_group_name_Hall 'P -6 2'
loop_
_atom_site_label
_atom_site_fract_x
_atom_site_fract_y
_atom_site_fract_z
Sr1 0.0000 0.0000 0.0000
Co1 0.6667 0.3333 0.5000
Rh1 0.3333 0.6667 0.5000
# - VASP energy (eV for the cell shown) = -16.058
# - Fermi-level density of states (states/eV/f.u.) = 2.5
# - energy of formation (eV/atom) = 0.0272

=====

2.
# GGA-PBE Sr2CoRh, optimized geometry
data_Sr2CoRh
_cell_length_a 3.507
_cell_length_b 3.507
_cell_length_c 8.712
_cell_angle_alpha 90.00
_cell_angle_beta 90.00
_cell_angle_gamma 90.00
_symmetry_space_group_name_H-M 'P 4 m m'
_symmetry_Int_Tables_number 99
_symmetry_space_group_name_Hall 'P 4 -2'
loop_
_atom_site_label
_atom_site_fract_x
_atom_site_fract_y
_atom_site_fract_z
Sr1 0.000 0.000 0.000
Sr2 0.500 0.500 0.421
Co1 0.000 0.000 0.675
Rh1 0.500 0.500 0.753
# - VASP energy (eV for the cell shown) = -17.012
# - Fermi-level density of states (states/eV/f.u.) = 5.1
# - energy of formation (eV/atom) = 0.2022

=====

3.
# GGA-PBE Sr2CoRh, optimized geometry
data_Sr2CoRh
_cell_length_a 7.119
_cell_length_b 7.119
_cell_length_c 7.119
_cell_angle_alpha 90.00
_cell_angle_beta 90.00
_cell_angle_gamma 90.00
_symmetry_space_group_name_H-M 'F -4 3 m'
_symmetry_Int_Tables_number 216
_symmetry_space_group_name_Hall 'F -4 2 3'
loop_
_atom_site_label
_atom_site_fract_x
_atom_site_fract_y
_atom_site_fract_z
Sr1 0.000 0.000 0.000
Sr2 0.250 0.250 0.250
Co1 0.250 0.250 0.750
Rh1 0.000 0.000 0.500
# - VASP energy (eV for the cell shown) = -63.485
# - Fermi-level density of states (states/eV/f.u.) = 6.7
# - energy of formation (eV/atom) = 0.4874

=====

4.
# GGA-PBE SrCo2Rh, optimized geometry
data_SrCo2Rh
_cell_length_a 2.8914
_cell_length_b 2.8914
_cell_length_c 27.5178
_cell_angle_alpha 90.00
_cell_angle_beta 90.00
_cell_angle_gamma 120.00
_symmetry_space_group_name_H-M 'R -3 m'
_symmetry_Int_Tables_number 166
_symmetry_space_group_name_Hall '-R 3 2"'
loop_
_atom_site_label
_atom_site_fract_x
_atom_site_fract_y
_atom_site_fract_z
Sr1 0.0000 0.0000 0.0000
Co1 0.0000 0.0000 0.2382
Rh1 0.0000 0.0000 0.5000
# - VASP energy (eV for the cell shown) = -59.360
# - Fermi-level density of states (states/eV/f.u.) = 5.3
# - energy of formation (eV/atom) = 0.8646

=====

Q: Which value of energy of formation does entry 3 give?
A: 0.4874 eV/atom